Arrangement one

Density functional theory data (PBE) for crystalline Na3TlAg at its relaxed geometry.

a b c (Å): 5.395 6.374 6.374
angles (deg): 67.63 73.61 106.39
Fractional positions:
Ag (0.548, 0.000, 0.000)
Na (0.917, 0.475, 0.000)
Na (0.917, 0.000, 0.525)
Na (0.442, 0.525, 0.475)
Tl (0.051, 0.000, 0.000)

---

Arrangement two

Density functional theory data (PBE) for crystalline Na3TlAg at its relaxed geometry.

a b c (Å): 5.453 6.011 8.534
angles (deg): 70.14 90.00 90.00
Fractional positions:
Na (0.624, 0.786, 0.518)
Na (0.124, 0.470, 0.718)
Na (0.124, 0.098, 0.537)
Na (0.624, 0.001, 0.110)
Na (0.124, 0.312, 0.129)
Na (0.624, 0.629, 0.929)
Ag (0.624, 0.171, 0.729)
Ag (0.124, 0.928, 0.918)
Tl (0.625, 0.380, 0.352)
Tl (0.125, 0.718, 0.296)

---

Order from most stable to least stable according to the calculation: arrangement two, arrangement one

---

Arrangement one

Density functional theory data (PBE) for crystalline NaTl3Ag at its relaxed geometry.

a b c (Å): 5.569 5.569 5.569
angles (deg): 90.00 90.00 90.00
Fractional positions:
Ag (0.000, 0.000, 0.000)
Tl (0.000, 0.500, 0.000)
Tl (0.000, 0.000, 0.500)
Tl (0.500, 0.000, 0.000)
Na (0.500, 0.500, 0.500)

---

Arrangement two

Density functional theory data (PBE) for crystalline NaTl3Ag at its relaxed geometry.

a b c (Å): 4.372 10.269 12.695
angles (deg): 90.00 90.00 90.00
Fractional positions:
Ag (0.750, 0.860, 0.364)
Ag (0.250, 0.640, 0.864)
Ag (0.750, 0.360, 0.136)
Ag (0.250, 0.140, 0.636)
Tl (0.250, 0.337, 0.304)
Tl (0.750, 0.445, 0.905)
Tl (0.250, 0.419, 0.687)
Tl (0.750, 0.163, 0.804)
Tl (0.750, 0.081, 0.187)
Tl (0.750, 0.945, 0.595)
Tl (0.250, 0.919, 0.813)
Tl (0.250, 0.055, 0.405)
Tl (0.250, 0.837, 0.196)
Tl (0.750, 0.663, 0.696)
Tl (0.250, 0.555, 0.095)
Tl (0.750, 0.581, 0.313)
Na (0.750, 0.303, 0.505)
Na (0.250, 0.197, 0.005)
Na (0.250, 0.697, 0.495)
Na (0.750, 0.803, 0.995)

---

Order from most stable to least stable according to the calculation: arrangement two, arrangement one

---

Arrangement one

Density functional theory data (PBE) for crystalline Na5Tl4Ag2 at its relaxed geometry.

a b c (Å): 3.432 8.419 10.424
angles (deg): 94.45 90.00 90.00
Fractional positions:
Tl (0.500, 0.778, 0.574)
Tl (0.500, 0.799, 0.144)
Tl (0.500, 0.222, 0.426)
Tl (0.500, 0.201, 0.856)
Na (0.000, 0.147, 0.139)
Na (0.000, 0.455, 0.662)
Na (0.000, 0.500, 0.000)
Na (0.000, 0.545, 0.338)
Na (0.000, 0.853, 0.861)
Ag (0.000, 0.921, 0.367)
Ag (0.000, 0.079, 0.633)

---

Arrangement two

Density functional theory data (PBE) for crystalline Na5Tl4Ag2 at its relaxed geometry.

a b c (Å): 5.285 9.143 8.144
angles (deg): 124.15 108.93 90.00
Fractional positions:
Na (0.266, 0.936, 0.531)
Na (0.266, 0.595, 0.531)
Na (0.734, 0.064, 0.469)
Na (0.734, 0.405, 0.469)
Na (0.500, 0.000, 0.000)
Tl (0.000, 0.277, 0.000)
Tl (0.000, 0.723, 0.000)
Tl (0.377, 0.377, 0.754)
Tl (0.623, 0.623, 0.246)
Ag (0.137, 0.137, 0.274)
Ag (0.863, 0.863, 0.726)

---

Order from most stable to least stable according to the calculation: arrangement one, arrangement two

---

Arrangement one

Density functional theory data (PBE) for crystalline Na5TlAg at its relaxed geometry.

a b c (Å): 6.331 8.325 9.515
angles (deg): 115.94 110.14 90.00
Fractional positions:
Tl (0.000, 0.000, 0.000)
Tl (0.500, 0.500, 0.000)
Na (0.115, 0.114, 0.730)
Na (0.920, 0.563, 0.848)
Na (0.750, 0.652, 0.500)
Na (0.420, 0.786, 0.848)
Na (0.580, 0.214, 0.152)
Na (0.885, 0.886, 0.270)
Na (0.615, 0.116, 0.730)
Na (0.080, 0.437, 0.152)
Na (0.385, 0.884, 0.270)
Na (0.250, 0.348, 0.500)
Ag (0.250, 0.756, 0.500)
Ag (0.750, 0.244, 0.500)

---

Arrangement two

Density functional theory data (PBE) for crystalline Na5TlAg at its relaxed geometry.

a b c (Å): 8.894 6.453 6.728
angles (deg): 118.66 131.37 90.00
Fractional positions:
Na (0.847, 0.808, 0.616)
Na (0.421, 0.777, 0.000)
Na (0.231, 0.192, 0.384)
Na (0.111, 0.500, 0.000)
Na (0.421, 0.223, 0.000)
Tl (0.767, 0.500, 0.000)
Ag (0.733, 0.000, 0.000)

---

Order from most stable to least stable according to the calculation: arrangement one, arrangement two

---

Arrangement one

Density functional theory data (PBE) for crystalline Na3Tl3Ag at its relaxed geometry.

a b c (Å): 7.793 7.793 8.159
angles (deg): 99.78 99.78 117.44
Fractional positions:
Na (0.889, 0.111, 0.500)
Na (0.431, 0.431, 0.671)
Na (0.748, 0.252, 0.000)
Na (0.252, 0.748, 0.000)
Na (0.569, 0.569, 0.329)
Na (0.111, 0.889, 0.500)
Tl (0.509, 0.117, 0.339)
Tl (0.780, 0.780, 0.072)
Tl (0.883, 0.491, 0.661)
Tl (0.491, 0.883, 0.661)
Tl (0.220, 0.220, 0.928)
Tl (0.117, 0.509, 0.339)
Ag (0.842, 0.842, 0.743)
Ag (0.158, 0.158, 0.257)

---

Arrangement two

Density functional theory data (PBE) for crystalline Na3Tl3Ag at its relaxed geometry.

a b c (Å): 9.206 9.206 9.206
angles (deg): 90.00 90.00 90.00
Fractional positions:
Tl (0.054, 0.284, 0.847)
Tl (0.784, 0.653, 0.946)
Tl (0.653, 0.946, 0.784)
Tl (0.716, 0.347, 0.446)
Tl (0.216, 0.153, 0.554)
Tl (0.554, 0.216, 0.153)
Tl (0.847, 0.054, 0.284)
Tl (0.347, 0.446, 0.716)
Tl (0.946, 0.784, 0.653)
Tl (0.284, 0.847, 0.054)
Tl (0.153, 0.554, 0.216)
Tl (0.446, 0.716, 0.347)
Na (0.965, 0.965, 0.965)
Na (0.465, 0.535, 0.035)
Na (0.195, 0.195, 0.195)
Na (0.627, 0.627, 0.627)
Na (0.695, 0.305, 0.805)
Na (0.535, 0.035, 0.465)
Na (0.305, 0.805, 0.695)
Na (0.035, 0.465, 0.535)
Na (0.373, 0.127, 0.873)
Na (0.873, 0.373, 0.127)
Na (0.127, 0.873, 0.373)
Na (0.805, 0.695, 0.305)
Ag (0.892, 0.108, 0.608)
Ag (0.392, 0.392, 0.392)
Ag (0.108, 0.608, 0.892)
Ag (0.608, 0.892, 0.108)

---

Order from most stable to least stable according to the calculation: arrangement two, arrangement one

---

Arrangement one

Density functional theory data (PBE) for crystalline NaTm2Ag at its relaxed geometry.

a b c (Å): 3.519 3.519 9.338
angles (deg): 90.00 90.00 90.00
Fractional positions:
Na (0.500, 0.500, 0.500)
Tm (0.000, 0.000, 0.190)
Tm (0.000, 0.000, 0.810)
Ag (0.500, 0.500, 0.000)

---

Arrangement two

Density functional theory data (PBE) for crystalline NaTm2Ag at its relaxed geometry.

a b c (Å): 3.402 3.402 11.769
angles (deg): 81.69 81.69 60.00
Fractional positions:
Ag (0.500, 0.500, 0.500)
Tm (0.901, 0.901, 0.297)
Tm (0.099, 0.099, 0.703)
Na (0.000, 0.000, 0.000)

---

Order from most stable to least stable according to the calculation: arrangement one, arrangement two

---

Arrangement one

Density functional theory data (PBE) for crystalline NaV3Ag at its relaxed geometry.

a b c (Å): 4.490 4.490 4.490
angles (deg): 90.00 90.00 90.00
Fractional positions:
Ag (0.500, 0.500, 0.500)
Na (0.000, 0.000, 0.000)
V (0.000, 0.500, 0.000)
V (0.500, 0.000, 0.000)
V (0.000, 0.000, 0.500)

---

Arrangement two

Density functional theory data (PBE) for crystalline NaV3Ag at its relaxed geometry.

a b c (Å): 5.058 5.058 5.058
angles (deg): 90.00 90.00 90.00
Fractional positions:
Na (0.500, 0.500, 0.500)
V (0.000, 0.000, 0.500)
V (0.500, 0.000, 0.000)
V (0.000, 0.500, 0.000)
Ag (0.000, 0.000, 0.000)

---

Order from most stable to least stable according to the calculation: arrangement two, arrangement one

---

Arrangement one

Density functional theory data (PBE) for crystalline Na3AgW at its relaxed geometry.

a b c (Å): 5.477 5.477 5.477
angles (deg): 90.00 90.00 90.00
Fractional positions:
Na (0.000, 0.000, 0.500)
Na (0.000, 0.500, 0.000)
Na (0.500, 0.000, 0.000)
Ag (0.000, 0.000, 0.000)
W (0.500, 0.500, 0.500)

---

Arrangement two

Density functional theory data (PBE) for crystalline Na3AgW at its relaxed geometry.

a b c (Å): 5.913 5.913 5.913
angles (deg): 90.00 90.00 90.00
Fractional positions:
Na (0.500, 0.000, 0.000)
Na (0.000, 0.000, 0.500)
Na (0.000, 0.500, 0.000)
W (0.000, 0.000, 0.000)
Ag (0.500, 0.500, 0.500)

---

Order from most stable to least stable according to the calculation: arrangement one, arrangement two

---

Arrangement one

Density functional theory data (PBE) for crystalline NaAg2W at its relaxed geometry.

a b c (Å): 7.568 7.568 6.101
angles (deg): 51.67 51.67 90.00
Fractional positions:
W (0.750, 0.250, 0.500)
W (0.000, 0.000, 0.000)
Na (0.500, 0.500, 0.000)
Na (0.250, 0.750, 0.500)
Ag (0.638, 0.125, 0.250)
Ag (0.112, 0.625, 0.250)
Ag (0.375, 0.362, 0.750)
Ag (0.875, 0.888, 0.750)

---

Arrangement two

Density functional theory data (PBE) for crystalline NaAg2W at its relaxed geometry.

a b c (Å): 4.687 4.687 4.687
angles (deg): 60.00 60.00 60.00
Fractional positions:
W (0.500, 0.500, 0.500)
Na (0.000, 0.000, 0.000)
Ag (0.750, 0.750, 0.750)
Ag (0.250, 0.250, 0.250)

---

Order from most stable to least stable according to the calculation: arrangement two, arrangement one

---

Arrangement one

Density functional theory data (PBE) for crystalline NaY3Ag at its relaxed geometry.

a b c (Å): 5.522 5.522 5.522
angles (deg): 90.00 90.00 90.00
Fractional positions:
Ag (0.500, 0.500, 0.500)
Y (0.000, 0.000, 0.500)
Y (0.500, 0.000, 0.000)
Y (0.000, 0.500, 0.000)
Na (0.000, 0.000, 0.000)

---

Arrangement two

Density functional theory data (PBE) for crystalline NaY3Ag at its relaxed geometry.

a b c (Å): 5.653 5.653 5.653
angles (deg): 90.00 90.00 90.00
Fractional positions:
Ag (0.000, 0.000, 0.000)
Y (0.500, 0.000, 0.000)
Y (0.000, 0.500, 0.000)
Y (0.000, 0.000, 0.500)
Na (0.500, 0.500, 0.500)

---

Order from most stable to least stable according to the calculation: arrangement two, arrangement one

---

Arrangement one

Density functional theory data (PBE) for crystalline Na2YAg2 at its relaxed geometry.

a b c (Å): 4.078 4.078 7.933
angles (deg): 75.11 75.11 90.00
Fractional positions:
Y (0.000, 0.000, 0.000)
Na (0.250, 0.750, 0.500)
Na (0.750, 0.250, 0.500)
Ag (0.406, 0.406, 0.187)
Ag (0.594, 0.594, 0.813)

---

Arrangement two

Density functional theory data (PBE) for crystalline Na2YAg2 at its relaxed geometry.

a b c (Å): 7.686 7.686 4.459
angles (deg): 90.00 90.00 90.00
Fractional positions:
Ag (0.370, 0.130, 0.000)
Ag (0.870, 0.370, 0.000)
Ag (0.130, 0.630, 0.000)
Ag (0.630, 0.870, 0.000)
Na (0.162, 0.338, 0.500)
Na (0.338, 0.838, 0.500)
Na (0.838, 0.662, 0.500)
Na (0.662, 0.162, 0.500)
Y (0.000, 0.000, 0.000)
Y (0.500, 0.500, 0.000)

---

Arrangement three

Density functional theory data (PBE) for crystalline Na2YAg2 at its relaxed geometry.

a b c (Å): 8.562 8.562 3.213
angles (deg): 90.00 90.00 90.00
Fractional positions:
Ag (0.813, 0.313, 0.500)
Ag (0.687, 0.813, 0.500)
Ag (0.313, 0.187, 0.500)
Ag (0.187, 0.687, 0.500)
Na (0.884, 0.616, 0.000)
Na (0.116, 0.384, 0.000)
Na (0.384, 0.884, 0.000)
Na (0.616, 0.116, 0.000)
Y (0.500, 0.500, 0.000)
Y (0.000, 0.000, 0.000)

---

Order from most stable to least stable according to the calculation: arrangement one, arrangement three, arrangement two